MnAlW2 | PBE | optimized geometry

It has space group P4/mmm (No. 123), with a = 3.7727 Å, b = 3.7727 Å, c = 4.2098 Å, α = 90.00°, β = 90.00° and γ = 90.00°. Symmetry generates all atoms from Mn at (0.0000, 0.0000, 0.0000), Al at (0.5000, 0.5000, 0.0000) and W at (0.0000, 0.5000, 0.5000).

Its formation energy is 0.3 eV per formula unit. Its total energy is -9.63 eV/atom.

Mn2Al2W | PBE | optimized geometry

It has space group Cmmm (No. 65), with a = 2.9282 Å, b = 16.4616 Å, c = 2.9805 Å, α = 90.00°, β = 90.00° and γ = 90.00°. Symmetry generates all atoms from Mn at (0.0000, 0.0893, 0.0000), Al at (0.0000, 0.3234, 0.5000) and W at (0.0000, 0.5000, 0.5000).

Its formation energy is -0.2 eV per formula unit. Its total energy is -7.80 eV/atom. The energy relative to the lowest polymorph listed for this composition is 0.0000 eV per atom.

MnAlW | PBE | optimized geometry

It has space group Pnma (No. 62), with a = 8.6131 Å, b = 4.0223 Å, c = 5.4886 Å, α = 90.00°, β = 90.00° and γ = 90.00°. Symmetry generates all atoms from Mn at (0.0965, 0.2500, 0.2313), Al at (0.1575, 0.7500, 0.9726) and W at (0.1262, 0.7500, 0.4745).

Its formation energy is 0.8 eV per formula unit. Its total energy is -8.34 eV/atom. The energy relative to the lowest polymorph listed for this composition is 0.4151 eV per atom.

MnAlW | PBE | optimized geometry

It has space group Imm2 (No. 44), with a = 2.7002 Å, b = 3.9148 Å, c = 8.0530 Å, α = 90.00°, β = 90.00° and γ = 90.00°. Symmetry generates all atoms from Mn at (0.0000, 0.0000, 0.0000), Al at (0.0000, 0.0000, 0.3402) and W at (0.0000, 0.0000, 0.6700).

Its formation energy is 0.1 eV per formula unit. Its total energy is -8.58 eV/atom. The energy relative to the lowest polymorph listed for this composition is 0.1838 eV per atom.